1.
Here is a geometry-optimized BiAsS3 structure from Alexandria. Energies are from GGA-PBEsol.

Lattice parameters (Å, degrees): 4.696 4.696 4.696 90.00 90.00 90.00
Element x y z (fractional)
S (0.000, 0.500, 0.000)
S (0.000, 0.000, 0.500)
S (0.500, 0.000, 0.000)
As (0.000, 0.000, 0.000)
Bi (0.500, 0.500, 0.500)

## Properties
Uncorrected energy, eV per cell: -21.857
SG: Pm-3m, No. 221
E_form (uncorrected), meV/atom: 137


2.
Here is a geometry-optimized CsYMo2O8 structure from Alexandria. Energies are from GGA-PBEsol.

Lattice parameters (Å, degrees): 5.976 5.976 8.112 90.00 90.00 120.00
Element x y z (fractional)
Cs (0.000, 0.000, 0.500)
Y (0.000, 0.000, 0.000)
Mo (0.667, 0.333, 0.237)
Mo (0.333, 0.667, 0.763)
O (0.829, 0.171, 0.168)
O (0.829, 0.659, 0.168)
O (0.341, 0.171, 0.168)
O (0.659, 0.829, 0.832)
O (0.333, 0.667, 0.551)
O (0.667, 0.333, 0.449)
O (0.171, 0.829, 0.832)
O (0.171, 0.341, 0.832)

## Properties
Uncorrected energy, eV per cell: -102.765
SG: P-3m1, No. 164
E_form (uncorrected), meV/atom: -2456


3.
Here is a geometry-optimized TiPb3S structure from Alexandria. Energies are from GGA-PBEsol.

Lattice parameters (Å, degrees): 5.345 5.345 5.345 90.00 90.00 90.00
Last column: magnetic moment on the atom in μB.
Element x y z (fractional)
Pb (0.000, 0.500, 0.000)  0.01
Pb (0.000, 0.000, 0.500)  0.01
Pb (0.500, 0.000, 0.000)  0.01
S (0.000, 0.000, 0.000)  0.01
Ti (0.500, 0.500, 0.500)  1.74

## Properties
Uncorrected energy, eV per cell: -21.590
SG: Pm-3m, No. 221
E_form (uncorrected), meV/atom: 622


4.
Here is a geometry-optimized BaTe2W structure from Alexandria. Energies are from GGA-PBEsol.

Lattice parameters (Å, degrees): 3.669 5.372 5.372 90.00 90.00 90.00
Last column: magnetic moment on the atom in μB.
Element x y z (fractional)
Ba (0.500, 0.000, 0.000)  0.04
Te (0.000, 0.000, 0.500)  -0.06
Te (0.000, 0.500, 0.000)  -0.06
W (0.500, 0.500, 0.500)  1.88

## Properties
Uncorrected energy, eV per cell: -21.680
SG: P4/mmm, No. 123
E_form (uncorrected), meV/atom: 332